Entry from the Alexandria database: a relaxed structure of YMg2In2 (PBE-GGA).

Calculated values
size of the total moment	0.45	μB per formula unit
SG	P4/mbm, No. 127
formation energy from the elements	-0.1838	eV/atom

a = 8.562 Å, b = 8.562 Å, c = 3.321 Å
α = 90.00°, β = 90.00°, γ = 90.00°
Fractional positions:
Y1 0.000 0.000 0.000
Y2 0.500 0.500 0.000
Mg1 0.122 0.378 0.000
Mg2 0.378 0.878 0.000
Mg3 0.622 0.122 0.000
Mg4 0.878 0.622 0.000
In1 0.176 0.676 0.500
In2 0.324 0.176 0.500
In3 0.676 0.824 0.500
In4 0.824 0.324 0.500

=====

Entry from the Alexandria database: a relaxed structure of Re2SbPb (PBE-GGA).

Calculated values
size of the total moment	0.00	μB per formula unit
SG	Cm, No. 8
E_form (uncorrected)	2.18	eV per formula unit

a = 4.502 Å, b = 4.502 Å, c = 7.242 Å
α = 97.68°, β = 97.68°, γ = 41.32°
Fractional positions:
Re1 0.000 0.000 0.000
Re2 0.726 0.726 0.105
Sb1 0.261 0.261 0.777
Pb1 0.474 0.474 0.371

=====

no.,Fermi-level density of states (states/eV/f.u.),ρ (g cm⁻³)
1,2.37,5.01
2,2.77,12.14